## Cu7Ag3 (PBE-GGA)

Data for a relaxed structure of Cu7Ag3.

Cell: 7.2261 7.2261 7.3309 Å, 104.58 104.58 21.81°
With the nearest neighbours (Å) after each atom.
Positions (direct):
Cu 0.8055 0.8055 0.9128  9 Cu 2.50-2.73, 2 Ag 2.69
Cu 0.8028 0.8028 0.3886  8 Cu 2.61-2.73, 4 Ag 2.67-2.80
Ag 0.9965 0.9965 0.5123  7 Cu 2.67-2.78, 5 Ag 2.73-2.91
Cu 0.3932 0.3932 0.7064  8 Cu 2.52-2.73, 3 Ag 2.62-2.67
Cu 0.3988 0.3988 0.1917  9 Cu 2.53-2.73, 3 Ag 2.76-2.77
Ag 0.6002 0.6002 0.2716  6 Cu 2.68-2.78, 6 Ag 2.73-2.91
Cu 0.2117 0.2117 0.0921  9 Cu 2.50-2.73, 2 Ag 2.68
Ag 0.2021 0.2021 0.6126  7 Cu 2.62-2.80, 5 Ag 2.73-2.89
Cu 0.5999 0.5999 0.8315  7 Cu 2.53-2.82, 4 Ag 2.78
Cu 0.9892 0.9892 0.9806  9 Cu 2.52-2.73, 2 Ag 2.68

Computed properties:
Symmetry: Cm
Energy relative to the elements: 0.075 eV/atom
Offset from the most stable computed form: 2.9 kJ/mol of atoms


## UPaIr (PBE-GGA)

Data for a relaxed structure of UPaIr.

Cell: 4.5616 4.5616 4.5616 Å, 60.00 60.00 60.00°
With the nearest neighbours (Å) after each atom.
Positions (direct):
U 0.2500 0.2500 0.2500  4 Ir 2.79, 4 Pa 2.79
Pa 0.5000 0.5000 0.5000  4 U 2.79
Ir 0.0000 0.0000 0.0000  4 U 2.79

Computed properties:
Symmetry: F-43m
Energy relative to the elements: -0.047 eV/atom
Offset from the most stable computed form: 0.0 kJ/mol of atoms


## Hf2ScAu (PBE-GGA)

Data for a relaxed structure of Hf2ScAu.

Cell: 4.8520 4.8520 4.8520 Å, 60.00 60.00 60.00°
With the nearest neighbours (Å) after each atom.
Positions (direct):
Hf 0.7500 0.7500 0.7500  4 Hf 2.97, 4 Sc 2.97
Sc 0.0000 0.0000 0.0000  4 Au 2.97, 4 Hf 2.97
Au 0.2500 0.2500 0.2500  4 Sc 2.97, 4 Hf 2.97
Hf 0.5000 0.5000 0.5000  4 Au 2.97, 4 Hf 2.97

Computed properties:
Symmetry: F-43m
Energy relative to the elements: -0.061 eV/atom


## CdCuNiS3 (PBE-GGA)

Data for a relaxed structure of CdCuNiS3.

Cell: 6.7141 3.8016 9.7980 Å, 90.00 97.68 90.00°
With the nearest neighbours (Å) after each atom.
Positions (direct):
S 0.3988 0.2500 0.6475  3 Cu 2.28-2.34, 1 Cd 2.55
Ni 0.0596 0.7500 0.9087  4 S 2.23-2.25
Cu 0.4512 0.2500 0.4162  3 S 2.28-2.34, 2 Cu 2.54
S 0.7857 0.7500 0.0183  3 Ni 2.24-2.25
Cu 0.5488 0.7500 0.5838  3 S 2.28-2.34, 2 Cu 2.54
Cd 0.7522 0.2500 0.7806  3 S 2.55-2.57
S 0.0510 0.2500 0.3158  1 Ni 2.23
S 0.6012 0.7500 0.3525  3 Cu 2.28-2.34, 1 Cd 2.55
S 0.2143 0.2500 0.9817  3 Ni 2.24-2.25
Cd 0.2478 0.7500 0.2194  3 S 2.55-2.57
Ni 0.9404 0.2500 0.0913  4 S 2.23-2.25
S 0.9490 0.7500 0.6842  1 Ni 2.23

Computed properties:
Symmetry: P2_1/m
DFT total energy: -3.87 eV/atom


## SrHfTc2 (PBE-GGA)

Data for a relaxed structure of SrHfTc2.

Cell: 4.7600 4.7600 4.7600 Å, 60.00 60.00 60.00°
With the nearest neighbours (Å) after each atom.
Positions (direct):
Sr 0.7500 0.7500 0.7500  4 Hf 2.91, 4 Tc 2.91
Tc 0.2500 0.2500 0.2500  4 Tc 2.91, 4 Hf 2.91
Tc 0.0000 0.0000 0.0000  4 Tc 2.91, 4 Sr 2.91
Hf 0.5000 0.5000 0.5000  4 Tc 2.91, 4 Sr 2.91

Computed properties:
Symmetry: F-43m
DFT total energy: -7.34 eV/atom


## MoSe2S2Br (PBE-GGA)

Data for a relaxed structure of MoSe2S2Br.

Cell: 6.2770 7.9987 8.1922 Å, 119.15 97.67 104.85°
With the nearest neighbours (Å) after each atom.
Positions (direct):
S 0.0210 0.1384 0.8556  1 Se 2.39, 2 Mo 2.42
S 0.6023 0.2756 0.0746  1 Se 2.22
Mo 0.7759 0.0004 0.9998  4 S 2.42-2.55, 4 Se 2.57-2.64
S 0.9790 0.8616 0.1444  1 Se 2.39, 2 Mo 2.42
Br 0.7352 0.3903 0.6266  2 Se 2.70-3.00
S 0.3977 0.7244 0.9254  1 Se 2.22
Se 0.8715 0.7712 0.6908  1 S 2.39, 2 Mo 2.57
Mo 0.2241 0.9996 0.0002  4 S 2.42-2.55, 4 Se 2.57-2.64
Se 0.4631 0.0147 0.7629  1 S 2.22
Br 0.2648 0.6097 0.3734  2 Se 2.70-3.00
Se 0.1285 0.2288 0.3092  1 S 2.39, 2 Mo 2.57
Se 0.5369 0.9853 0.2371  1 S 2.22

Computed properties:
Symmetry: P-1
Offset from the most stable computed form: 1.2 kJ/mol of atoms


## NbCo2B4 (PBE-GGA)

Data for a relaxed structure of NbCo2B4.

Cell: 6.6154 6.6154 6.6154 Å, 153.40 152.52 38.62°
With the nearest neighbours (Å) after each atom.
Positions (direct):
B 0.3481 0.8481 0.5000  2 B 1.79
Co 0.8134 0.3134 0.5000  7 B 2.02-2.23
B 0.5761 0.5761 0.0000  3 B 1.79-1.90
B 0.6519 0.1519 0.5000  2 B 1.79
B 0.4239 0.4239 0.0000  3 B 1.79-1.90
Nb 0.0000 0.0000 0.0000  12 B 2.39-2.46
Co 0.1866 0.6866 0.5000  7 B 2.02-2.23

Computed properties:
Symmetry: Immm
DFT total energy: -7.81 eV/atom


## CdCu2I2Br2 (PBE-GGA)

Data for a relaxed structure of CdCu2I2Br2.

Cell: 5.9707 5.8854 6.2287 Å, 90.00 92.63 90.00°
With the nearest neighbours (Å) after each atom.
Positions (direct):
Br 0.7504 0.2618 0.7255  2 Cu 2.49-2.50, 1 Cd 2.69
I 0.2743 0.7370 0.7424  2 Cu 2.61, 1 Cd 2.82
Cd 0.0000 0.0032 0.0000  2 Br 2.69, 2 I 2.82
Cu 0.0000 0.4914 0.5000  2 Br 2.49, 2 I 2.61
Br 0.2496 0.2618 0.2745  2 Cu 2.49-2.50, 1 Cd 2.69
I 0.7257 0.7370 0.2576  2 Cu 2.61, 1 Cd 2.82
Cu 0.5000 0.0078 0.5000  2 Br 2.50, 2 I 2.61

Computed properties:
Symmetry: P2
DFT total energy: -2.53 eV/atom


Repeat the second record exactly.
## UPaIr (PBE-GGA)

Data for a relaxed structure of UPaIr.

Cell: 4.5616 4.5616 4.5616 Å, 60.00 60.00 60.00°
With the nearest neighbours (Å) after each atom.
Positions (direct):
U 0.2500 0.2500 0.2500  4 Ir 2.79, 4 Pa 2.79
Pa 0.5000 0.5000 0.5000  4 U 2.79
Ir 0.0000 0.0000 0.0000  4 U 2.79

Computed properties:
Symmetry: F-43m
Energy relative to the elements: -0.047 eV/atom
Offset from the most stable computed form: 0.0 kJ/mol of atoms


Please write out number 7 again, unchanged.
## NbCo2B4 (PBE-GGA)

Data for a relaxed structure of NbCo2B4.

Cell: 6.6154 6.6154 6.6154 Å, 153.40 152.52 38.62°
With the nearest neighbours (Å) after each atom.
Positions (direct):
B 0.3481 0.8481 0.5000  2 B 1.79
Co 0.8134 0.3134 0.5000  7 B 2.02-2.23
B 0.5761 0.5761 0.0000  3 B 1.79-1.90
B 0.6519 0.1519 0.5000  2 B 1.79
B 0.4239 0.4239 0.0000  3 B 1.79-1.90
Nb 0.0000 0.0000 0.0000  12 B 2.39-2.46
Co 0.1866 0.6866 0.5000  7 B 2.02-2.23

Computed properties:
Symmetry: Immm
DFT total energy: -7.81 eV/atom


- Which formula does entry 5 have?
  SrHfTc2